Model one:
The following is a DFT calculation (PBE-GGA) of InReAu after structural relaxation.

abc: 4.5161 4.5161 4.5161
angles: 60.00 60.00 60.00
Fractional positions:
Re  0.7500  0.7500  0.7500
In  0.5000  0.5000  0.5000
Au  0.0000  0.0000  0.0000

Output
N(E_F) ... 1.4 states/eV/cell

Model two:
The following is a DFT calculation (PBE-GGA) of InReAu after structural relaxation.

abc: 7.7340 7.4614 2.9160
angles: 84.25 73.72 22.03
Fractional positions:
In  0.3310  0.3310  0.6690
Au  0.0032  0.0032  0.9968
Re  0.6658  0.6658  0.3342

Output
N(E_F) ... 2.3 states/eV/cell

Winner for stability: model two